MnAl2TeO8 after structural relaxation. Source: Alexandria, functional PBE with a Hubbard U.

Lattice parameters (Å, degrees): 4.5091 4.5091 5.9076 90.00 90.00 92.34
Element x y z (fractional)
Mn (0.0000, 0.0000, 0.0000)
Al (0.5000, 0.5000, 0.2397)
Al (0.5000, 0.5000, 0.7603)
Te (0.0000, 0.0000, 0.5000)
O (0.1952, 0.8048, 0.2503)
O (0.1952, 0.8048, 0.7497)
O (0.3059, 0.3059, 0.0000)
O (0.3112, 0.3112, 0.5000)
O (0.6888, 0.6888, 0.5000)
O (0.6941, 0.6941, 0.0000)
O (0.8048, 0.1952, 0.2503)
O (0.8048, 0.1952, 0.7497)

Properties
final energy = -0.4932 Ry/atom
total moment = 3.000 μB/f.u.
V = 120 Å³ per cell